## Sn2P2Cl (PBE)

Data for a relaxed Sn2P2Cl crystal.

Calculated values
* formation energy without anion corrections: 0.0637 eV per atom
* polymorph energy (0 for the lowest one): 252 meV/atom
* E: -4.071 eV/atom
* size of the total moment: 0.000 μB/f.u.

Cell: 7.756 7.756 3.539 Å, 90.00 90.00 90.00°
Space group P4/mbm (No. 127)
Symmetry-distinct sites (fractional):
1 Sn 0.164 0.336 0.000
2 P 0.133 0.633 0.500
3 Cl 0.000 0.000 0.000

## Sn2P2Cl (PBE)

Data for a relaxed Sn2P2Cl crystal.

Calculated values
* formation energy without anion corrections: -0.1881 eV per atom
* polymorph energy (0 for the lowest one): 0 meV/atom
* E: -4.323 eV/atom
* size of the total moment: 0.000 μB/f.u.

Cell: 5.266 5.266 8.550 Å, 90.00 90.00 90.00°
Space group I4/mmm (No. 139)
Symmetry-distinct sites (fractional):
1 Sn 0.000 0.500 0.250
2 P 0.000 0.000 0.125
3 Cl 0.000 0.000 0.500

## Sn3PCl (PBE)

Data for a relaxed Sn3PCl crystal.

Calculated values
* formation energy without anion corrections: 0.2949 eV per atom
* polymorph energy (0 for the lowest one): 0 meV/atom
* E: -3.558 eV/atom
* size of the total moment: 0.000 μB/f.u.

Cell: 5.382 5.382 5.382 Å, 90.00 90.00 90.00°
Space group Pm-3m (No. 221)
Symmetry-distinct sites (fractional):
1 Sn 0.000 0.000 0.500
2 P 0.000 0.000 0.000
3 Cl 0.500 0.500 0.500

## Sn2P2Cl (PBE)

Data for a relaxed Sn2P2Cl crystal.

Calculated values
* formation energy without anion corrections: 0.1448 eV per atom
* polymorph energy (0 for the lowest one): 333 meV/atom
* E: -3.990 eV/atom
* size of the total moment: 0.000 μB/f.u.

Cell: 7.853 7.853 3.480 Å, 90.00 90.00 90.00°
Space group P4/mbm (No. 127)
Symmetry-distinct sites (fractional):
1 Sn 0.155 0.345 0.000
2 P 0.142 0.642 0.500
3 Cl 0.000 0.000 0.500